1.
The following is a DFT calculation (GGA-PBE) of a relaxed PuPaGaTc crystal.

Values from the calculation:
total energy: -37.5 eV/cell
M_tot: 5.2 μB/cell
DOS(E_F): 1.498 states/eV/atom
space-group type: F-43m
ΔH_f (0 K): -0.076 eV per atom

Lattice parameters (Å, degrees): 4.9142 4.9142 4.9142 60.00 60.00 60.00
Positions (direct):
Ga 0.7500 0.7500 0.7500
Tc 0.2500 0.2500 0.2500
Pu 0.0000 0.0000 0.0000
Pa 0.5000 0.5000 0.5000

2.
The following is a DFT calculation (GGA-PBE) of a relaxed TbPr2TmSe4 crystal.

Values from the calculation:
total energy: -46.9 eV/cell
M_tot: 0.0 μB/cell
DOS(E_F): 0.455 states/eV/atom
space-group type: P2/m
formation energy (no corrections): -1.7887 eV/atom

Lattice parameters (Å, degrees): 4.0777 7.1114 7.4154 108.44 90.00 90.00
Positions (direct):
Tb 0.5000 0.5000 0.0000
Tm 0.0000 0.0000 0.0000
Se 0.5000 0.2390 0.2289
Se 0.0000 0.2526 0.7686
Se 0.5000 0.7610 0.7711
Se 0.0000 0.7474 0.2314
Pr 0.5000 0.0000 0.5000
Pr 0.0000 0.5000 0.5000

3.
The following is a DFT calculation (GGA-PBE) of a relaxed Tb2Pr3NdHo6 crystal.

Values from the calculation:
total energy: -55.6 eV/cell
M_tot: 0.0 μB/cell
DOS(E_F): 1.187 states/eV/atom
space-group type: C2/m
ΔH_f (0 K): 0.016 eV per atom

Lattice parameters (Å, degrees): 6.2312 6.2312 11.8221 95.02 95.02 119.99
Positions (direct):
Pr 0.5000 0.5000 0.5000
Pr 0.8332 0.1668 0.5000
Pr 0.1668 0.8332 0.5000
Nd 0.0000 0.0000 0.0000
Tb 0.6667 0.3333 0.0000
Tb 0.3333 0.6667 0.0000
Ho 0.9174 0.5836 0.7528
Ho 0.4164 0.0826 0.2472
Ho 0.0826 0.4164 0.2472
Ho 0.2512 0.2512 0.7527
Ho 0.5836 0.9174 0.7528
Ho 0.7488 0.7488 0.2473

Question: Among the records above, which one has the lowest total energy?
Answer: Tb2Pr3NdHo6

Question: Which of these has the highest total energy?
Answer: PuPaGaTc